! Sr2Sc2Be (PBEsol, optimized geometry); values from VASP
&SYSTEM
  ibrav = 0, nat = 10, ntyp = 3
/
ATOMIC_SPECIES
Sr 87.62 Sr.upf
Sc 44.96 Sc.upf
Be 9.01 Be.upf
CELL_PARAMETERS angstrom
4.198 0.000 0.000
0.000 4.198 0.000
0.000 0.000 16.696
ATOMIC_POSITIONS crystal
Sr 0.000 0.500 0.250
Sr 0.000 0.500 0.750
Sr 0.500 0.000 0.250
Sr 0.500 0.000 0.750
Sc 0.000 0.000 0.079
Sc 0.000 0.000 0.921
Sc 0.500 0.500 0.421
Sc 0.500 0.500 0.579
Be 0.000 0.000 0.500
Be 0.500 0.500 0.000
! * crystal system: tetragonal
! * magnetic moment: 0.00 μB/cell
! * final energy: -3.101 eV/atom
! * energy of formation: 1.077 eV per atom